# 1
The following is a DFT calculation (PBE) of a relaxed structure of Ni2SnHAu.

Summary:
Crystal system   tetragonal
Uncorrected energy   -4.38 eV per atom
Magnetization   0.0 μB per cell

Lattice parameters (Å, degrees): 4.021 4.021 3.914 90.00 90.00 90.00
Element x y z (fractional)
Ni 0.000 0.500 0.000
Ni 0.500 0.000 0.000
Au 0.000 0.000 0.500
Sn 0.500 0.500 0.500
H 0.000 0.000 0.000

# 2
The following is a DFT calculation (PBE) of a relaxed structure of NbSbNO2.

Summary:
Crystal system   tetragonal
Uncorrected energy   -6.44 eV per atom
Raw formation energy   0.2 eV per formula unit
Magnetization   2.7 μB per cell

Lattice parameters (Å, degrees): 3.993 3.993 4.125 90.00 90.00 90.00
Element x y z (fractional)
Sb 0.000 0.000 0.000
Nb 0.500 0.500 0.500
O 0.000 0.500 0.000
O 0.500 0.000 0.000
N 0.000 0.000 0.500

# 3
The following is a DFT calculation (PBE) of a relaxed structure of USe3.

Summary:
Crystal system   monoclinic
Uncorrected energy   -6.36 eV per atom
Raw formation energy   -3.7 eV per formula unit
Magnetization   4.0 μB per cell

Lattice parameters (Å, degrees): 4.032 5.707 10.184 82.50 90.00 90.00
Element x y z (fractional)
U 0.750 0.782 0.861
U 0.250 0.218 0.139
Se 0.750 0.385 0.312
Se 0.250 0.615 0.688
Se 0.250 0.735 0.065
Se 0.750 0.265 0.935
Se 0.250 0.031 0.690
Se 0.750 0.969 0.310

# 4
The following is a DFT calculation (PBE) of a relaxed structure of Al2InBr.

Summary:
Excess energy over the best structure of this formula in the dataset   13 meV per atom
Crystal system   monoclinic
Uncorrected energy   -2.94 eV per atom
Raw formation energy   0.1 eV per formula unit
Magnetization   0.0 μB per cell

Lattice parameters (Å, degrees): 5.497 3.371 5.746 69.24 90.00 90.00
Element x y z (fractional)
Al 0.000 0.108 0.162
Al 0.500 0.132 0.117
Br 0.000 0.369 0.562
In 0.500 0.891 0.659

# 5
The following is a DFT calculation (PBE) of a relaxed structure of SrTa2Au.

Summary:
Formation energy from the elements   614 meV/atom
Excess energy over the best structure of this formula in the dataset   393 meV per atom
Crystal system   orthorhombic
Uncorrected energy   -6.55 eV per atom
Magnetization   0.0 μB per cell

Lattice parameters (Å, degrees): 6.148 6.148 6.148 150.91 125.53 62.94
Element x y z (fractional)
Au 0.472 0.472 0.000
Sr 0.743 0.243 0.500
Ta 0.037 0.037 0.000
Ta 0.247 0.747 0.500

# 6
The following is a DFT calculation (PBE) of a relaxed structure of Cs2BeInO4.

Summary:
Crystal system   orthorhombic
Uncorrected energy   -4.94 eV per atom
Raw formation energy   -11.5 eV per formula unit
Magnetization   2.0 μB per cell

Lattice parameters (Å, degrees): 5.105 6.676 11.780 85.25 77.49 67.52
Element x y z (fractional)
Cs 0.175 0.000 0.650
Cs 0.825 0.000 0.350
Cs 0.575 0.500 0.850
Cs 0.925 0.500 0.150
Be 0.250 0.500 0.500
Be 0.500 0.000 0.000
In 0.750 0.500 0.500
In 0.000 0.000 0.000
O 0.347 0.839 0.080
O 0.267 0.161 0.920
O 0.814 0.839 0.920
O 0.573 0.161 0.080
O 0.403 0.661 0.420
O 0.483 0.339 0.580
O 0.936 0.661 0.580
O 0.177 0.339 0.420

# 7
The following is a DFT calculation (PBE) of a relaxed structure of CeErZn4.

Summary:
Formation energy from the elements   -316 meV/atom
Excess energy over the best structure of this formula in the dataset   0 meV per atom
Crystal system   orthorhombic
Uncorrected energy   -2.92 eV per atom
Magnetization   0.4 μB per cell

Lattice parameters (Å, degrees): 4.550 5.671 5.671 75.10 66.35 66.35
Element x y z (fractional)
Ce 0.000 0.500 0.500
Er 0.000 0.000 0.000
Zn 0.667 0.571 0.095
Zn 0.333 0.905 0.429
Zn 0.333 0.429 0.905
Zn 0.667 0.095 0.571

# 8
The following is a DFT calculation (PBE) of a relaxed structure of GdZn2Pb.

Summary:
Formation energy from the elements   -262 meV/atom
Excess energy over the best structure of this formula in the dataset   0 meV per atom
Crystal system   tetragonal
Uncorrected energy   -5.35 eV per atom
Magnetization   7.1 μB per cell

Lattice parameters (Å, degrees): 4.491 4.467 4.467 90.00 90.00 90.00
Element x y z (fractional)
Pb 0.500 0.000 0.000
Zn 0.000 0.000 0.500
Zn 0.000 0.500 0.000
Gd 0.500 0.500 0.500

Volume (computed, Å³/cell): 63.29, 65.77, 232.34, 99.55, 91.10, 362.16, 121.96, 89.63